Entry from Alexandria: a relaxed SnIr3Se crystal (PBE).

a b c (Å): 4.8859 4.8859 4.8859
angles (deg): 90.00 90.00 90.00
Closest atoms and distances in Å follow each position.
Positions (direct):
Ir: 0.0000 0.5000 0.0000  2 Sn 2.44
Ir: 0.0000 0.0000 0.5000  2 Sn 2.44
Ir: 0.5000 0.0000 0.0000  2 Sn 2.44
Sn: 0.0000 0.0000 0.0000  6 Ir 2.44
Se: 0.5000 0.5000 0.5000  12 Ir 3.45

Output
ΔE_f (raw) ... 1.9559 eV per atom
E_tot ... -4.8582 eV per atom
Density ... 11.0 g/cm³